Entry 1:
First-principles (PBE-GGA) data for a geometry-optimized VIrPt structure, as listed in Alexandria.

Cell: 2.7370 2.7368 11.8524 Å, 90.00 96.63 90.00°
With the nearest neighbours (Å) after each atom.
Element x y z (fractional)
1 V 0.1309 0.2500 0.2619  4 Ir 2.62, 4 Pt 2.68, 4 V 2.74
2 V 0.8691 0.7500 0.7381  4 Ir 2.62, 4 Pt 2.68, 4 V 2.74
3 Ir 0.2938 0.2500 0.5876  4 V 2.62, 8 Ir 2.74-2.83
4 Ir 0.7062 0.7500 0.4124  4 V 2.62, 8 Ir 2.74-2.83
5 Pt 0.4480 0.2500 0.8960  4 V 2.68, 6 Pt 2.74-2.80
6 Pt 0.5520 0.7500 0.1040  4 V 2.68, 6 Pt 2.74-2.80

Fermi-level density of states   1.20 states/eV per atom
Excess energy over the best structure of this formula in the dataset   10 meV/atom


Entry 2:
First-principles (PBE-GGA) data for a geometry-optimized VIrPt structure, as listed in Alexandria.

Cell: 4.0685 4.0684 6.6433 Å, 72.11 72.11 89.99°
With the nearest neighbours (Å) after each atom.
Element x y z (fractional)
1 V 0.2709 0.2109 0.3756  4 Ir 2.47, 4 Pt 2.59
2 V 0.5377 0.4778 0.8414  4 Ir 2.47, 4 Pt 2.59
3 Ir 0.1542 0.5944 0.6085  4 V 2.47
4 Ir 0.6542 0.0945 0.6085  4 V 2.47
5 Pt 0.4042 0.8444 0.1085  4 V 2.59, 4 Pt 2.88
6 Pt 0.9042 0.3445 0.1085  4 V 2.59, 4 Pt 2.88

Fermi-level density of states   0.52 states/eV per atom
Excess energy over the best structure of this formula in the dataset   285 meV/atom